This record from the Alexandria database describes a geometry-optimized BRh2Cl structure. The functional is PBE-GGA.

Unit cell a=5.0194 b=5.0194 c=6.2449 alpha=66.30 beta=66.30 gamma=90.00
Fractional positions:
B 0.2500 0.7500 0.5000
Rh 0.5523 0.1250 0.2500
Cl 0.7500 0.2500 0.5000
Rh 0.8750 0.8023 0.7500
Cl 0.0000 0.0000 0.0000
Rh 0.3750 0.4477 0.7500
Rh 0.1977 0.6250 0.2500
B 0.5000 0.5000 0.0000

## Properties
Excess energy over the best structure of this formula in the dataset = 0 meV per atom
Formation energy from raw total energies = 15.4 kJ/mol of atoms
D(E_F) = 2.2 states/eV/cell
Space-group type = No. 122

***

This record from the Alexandria database describes a geometry-optimized Sn2Hg3Pb2 structure. The functional is PBE-GGA.

Unit cell a=3.3231 b=5.5740 c=11.2292 alpha=104.37 beta=90.00 gamma=90.00
Fractional positions:
Sn 0.5000 0.2907 0.5814
Hg 0.5000 0.4320 0.8639
Pb 0.0000 0.8485 0.6970
Hg 0.5000 0.5680 0.1361
Pb 0.0000 0.1515 0.3030
Sn 0.5000 0.7093 0.4186
Hg 0.0000 0.0000 0.0000

## Properties
Excess energy over the best structure of this formula in the dataset = 0 meV per atom
ΔE_f = 0.04 eV per atom
D(E_F) = 4.1 states/eV/cell
Space-group type = No. 65

***

This record from the Alexandria database describes a geometry-optimized LaReHg2 structure. The functional is PBE-GGA.

Unit cell a=5.5971 b=5.5971 c=5.5971 alpha=132.88 beta=132.88 gamma=68.85
Fractional positions:
Re 0.7500 0.2500 0.5000
Hg 0.2500 0.7500 0.5000
Hg 0.0000 0.0000 0.0000
La 0.5000 0.5000 0.0000

## Properties
Excess energy over the best structure of this formula in the dataset = 193 meV per atom
ΔE_f = 0.52 eV per atom
D(E_F) = 3.1 states/eV/cell
Space-group type = No. 119

***

This record from the Alexandria database describes a geometry-optimized UCr2Ni10 structure. The functional is PBE-GGA.

Unit cell a=4.6286 b=6.2505 c=6.3040 alpha=82.19 beta=68.46 gamma=68.27
Fractional positions:
Ni 0.0000 0.5000 0.0000
U 0.0000 0.0000 0.0000
Ni 0.3527 0.6484 0.6461
Ni 0.5002 0.7838 0.2158
Ni 0.5000 0.5000 0.0000
Ni 0.2840 0.2162 0.2158
Ni 0.6473 0.3515 0.3539
Ni 0.0012 0.3515 0.6461
Cr 0.5000 0.0000 0.5000
Cr 0.0000 0.0000 0.5000
Ni 0.9988 0.6484 0.3539
Ni 0.4998 0.2162 0.7842
Ni 0.7160 0.7838 0.7842

## Properties
ΔE_f = -0.03 eV per atom
D(E_F) = 20.2 states/eV/cell
Space-group type = No. 69

***

This record from the Alexandria database describes a geometry-optimized Li2YAs2 structure. The functional is PBE-GGA.

Unit cell a=3.9911 b=3.9911 c=6.4622 alpha=72.01 beta=72.01 gamma=90.00
Fractional positions:
Li 0.7500 0.2500 0.5000
As 0.3860 0.3860 0.2280
As 0.6140 0.6140 0.7720
Y 0.0000 0.0000 0.0000
Li 0.2500 0.7500 0.5000

## Properties
ΔE_f = -0.84 eV per atom
D(E_F) = 2.9 states/eV/cell
Space-group type = No. 139

***

This record from the Alexandria database describes a geometry-optimized MgMnPd4 structure. The functional is PBE-GGA.

Unit cell a=2.8784 b=4.9807 c=7.1651 alpha=79.48 beta=100.66 gamma=72.69
Fractional positions:
Mn 0.5000 0.0000 0.0000
Pd 0.8388 0.9959 0.6741
Pd 0.1612 0.0041 0.3259
Pd 0.3207 0.5188 0.1653
Mg 0.0000 0.5000 0.5000
Pd 0.6793 0.4812 0.8347

## Properties
ΔE_f = -0.36 eV per atom
D(E_F) = 2.2 states/eV/cell
Space-group type = No. 2

***

For each record above, in turn, the calculated DFT total energy values are -5.6475; -2.2923; -3.9725; -6.8282; -4.7611; -5.6179 eV per atom.